{"formula": "K2LiTl", "functional": "SCAN", "state": "PBEsol geometry", "relative_energy_mev_per_atom": 176.5, "lattice_angstrom": [[6.6151, 0.0000, 0.0000], [3.3075, 6.7869, 0.0000], [3.3075, 0.0000, 6.7869]], "species": ["K", "K", "K", "K", "Li", "Li", "Tl", "Tl"], "frac_coords": [[0.8750, 0.9953, 0.5047], [0.6203, 0.5047, 0.0047], [0.1297, 0.4953, 0.9953], [0.3750, 0.0047, 0.4953], [0.5000, 0.0000, 0.0000], [0.2500, 0.5000, 0.5000], [0.7500, 0.5000, 0.5000], [0.0000, 0.0000, 0.0000]]}

{"formula": "KLi3Tl", "functional": "SCAN", "state": "PBEsol geometry", "lattice_angstrom": [[-0.8671, -2.2655, -4.7703], [-0.5765, -4.7647, 2.3677], [-5.2494, 0.8975, 0.5280]], "species": ["K", "Li", "Li", "Li", "Tl"], "frac_coords": [[0.5000, 0.5000, 0.5000], [0.5000, 0.0000, 0.0000], [0.0000, 0.5000, 0.0000], [0.0000, 0.0000, 0.5000], [0.0000, 0.0000, 0.0000]]}

{"formula": "KLiTl", "functional": "SCAN", "state": "PBEsol geometry", "relative_energy_mev_per_atom": 0.0, "lattice_angstrom": [[3.5812, 0.0000, 0.0000], [0.0000, 4.0772, 0.0000], [-1.7906, -2.0386, 6.3363]], "species": ["K", "Li", "Tl"], "frac_coords": [[0.9935, 0.9935, 0.9869], [0.7155, 0.7155, 0.4310], [0.2911, 0.2911, 0.5821]]}

{"formula": "KLiTl", "functional": "SCAN", "state": "PBEsol geometry", "relative_energy_mev_per_atom": 253.6, "lattice_angstrom": [[5.2699, 0.0000, 0.0000], [2.6350, 4.5639, 0.0000], [2.6350, 1.5213, 4.3029]], "species": ["Li", "K", "Tl"], "frac_coords": [[0.2500, 0.2500, 0.2500], [0.5000, 0.5000, 0.5000], [0.0000, 0.0000, 0.0000]]}

{"formula": "K2LiTl", "functional": "SCAN", "state": "PBEsol geometry", "relative_energy_mev_per_atom": 0.0, "lattice_angstrom": [[3.9725, 0.0000, 0.0000], [0.0000, 3.9725, 0.0000], [0.0000, 0.0000, 10.0199]], "species": ["Tl", "Li", "K", "K"], "frac_coords": [[0.5000, 0.5000, 0.6777], [0.0000, 0.0000, 0.5838], [0.0000, 0.0000, 0.9227], [0.5000, 0.5000, 0.3159]]}

{"formula": "KLi2YTl", "functional": "SCAN", "state": "PBEsol geometry", "lattice_angstrom": [[4.8954, 0.0000, 0.0000], [0.0000, 4.8954, 0.0000], [0.0000, 0.0000, 6.2419]], "species": ["Tl", "Y", "Li", "Li", "K"], "frac_coords": [[0.5000, 0.5000, 0.5000], [0.0000, 0.0000, 0.5000], [0.0000, 0.5000, 0.0000], [0.5000, 0.0000, 0.0000], [0.0000, 0.0000, 0.0000]]}

{"formula": "KLiW2", "functional": "SCAN", "state": "PBEsol geometry", "relative_energy_mev_per_atom": 40.9, "lattice_angstrom": [[-0.7851, 2.6207, -1.7727], [-3.1051, -0.9890, -0.0870], [-1.6148, 4.4307, 7.2654]], "species": ["W", "W", "Li", "K"], "frac_coords": [[0.5000, 0.5000, 0.1582], [0.0000, 0.0000, 0.0288], [0.5000, 0.5000, 0.8289], [0.0000, 0.0000, 0.4841]]}

{"formula": "KLiW2", "functional": "SCAN", "state": "PBEsol geometry", "relative_energy_mev_per_atom": 147.5, "lattice_angstrom": [[2.6183, 0.0000, 0.0000], [0.0000, 4.2131, 0.0000], [0.0000, 0.0000, 7.9363]], "species": ["Li", "K", "W", "W"], "frac_coords": [[0.5000, 0.5000, 0.8269], [0.0000, 0.0000, 0.4895], [0.0000, 0.0000, 0.0165], [0.5000, 0.5000, 0.1671]]}

{"formula": "K2LiW", "functional": "SCAN", "state": "PBEsol geometry", "lattice_angstrom": [[5.8942, 0.0000, 0.0000], [2.9471, 5.1045, 0.0000], [2.9471, 1.7015, 4.8126]], "species": ["W", "Li", "K", "K"], "frac_coords": [[0.5000, 0.5000, 0.5000], [0.0000, 0.0000, 0.0000], [0.2500, 0.2500, 0.2500], [0.7500, 0.7500, 0.7500]]}

{"formula": "KLi2W", "functional": "SCAN", "state": "PBEsol geometry", "relative_energy_mev_per_atom": 18.0, "lattice_angstrom": [[-2.6683, -0.1178, 0.6785], [-0.6380, -0.5992, -2.6130], [0.9804, -10.1613, 2.0907]], "species": ["W", "Li", "Li", "K"], "frac_coords": [[0.0000, 0.0000, 0.4562], [0.5000, 0.5000, 0.2634], [0.0000, 0.0000, 0.0472], [0.5000, 0.5000, 0.7331]]}

{"formula": "KLiW2", "functional": "SCAN", "state": "PBEsol geometry", "relative_energy_mev_per_atom": 88.6, "lattice_angstrom": [[2.6801, 0.0000, -0.0338], [0.0000, 4.1319, 0.0000], [-1.2889, 0.0000, 7.9402]], "species": ["W", "W", "K", "Li"], "frac_coords": [[0.9460, 0.0000, 0.0134], [0.6968, 0.5000, 0.1660], [0.5793, 0.0000, 0.4870], [0.2780, 0.5000, 0.8336]]}

{"formula": "KLiW2", "functional": "SCAN", "state": "PBEsol geometry", "relative_energy_mev_per_atom": 0.0, "lattice_angstrom": [[2.8113, 0.0211, 0.0000], [-1.0217, 2.6191, 0.0000], [0.0000, 0.0000, 10.6858]], "species": ["Li", "K", "W", "W"], "frac_coords": [[0.5000, 0.5000, 0.2019], [0.0000, 0.0000, 0.5133], [0.0000, 0.0000, 0.9878], [0.5000, 0.5000, 0.7969]]}

| no. | formation enthalpy at 0 K (eV/atom) |
| --- | --- |
| 1 | 0.061 |
| 2 | -0.105 |
| 3 | -0.174 |
| 4 | 0.079 |
| 5 | -0.116 |
| 6 | 0.797 |
| 7 | 0.821 |
| 8 | 0.928 |
| 9 | 1.600 |
| 10 | 0.827 |
| 11 | 0.869 |
| 12 | 0.780 |